A relaxed structure of Hf2Nb4Si3C3, computed with PBE-GGA.

The space group is C2/c (No. 15) and the conventional cell measures 9.614, 5.555 and 13.412 Å, with angles of 90.00, 103.89 and 90.00 degrees. The asymmetric unit holds Hf at (0.049, 0.083, 0.399), Nb at (0.114, 0.416, 0.593), Nb at (0.220, 0.417, 0.907), Si at (0.000, 0.447, 0.250), Si at (0.181, 0.097, 0.750), C at (0.082, 0.247, 0.000) and C at (0.250, 0.250, 0.500).

The calculation puts the total energy at -446.770 eV per cell. As for the total magnetization: 0.002 μB/f.u. As for the crystal system: monoclinic. The volume is 695.4 Å³ per cell.